DFT (PBE) results for a relaxed BePIr crystal.

The structure in POSCAR format:
```
BePIr
1.0
-1.6029 1.6029 3.5206
1.6029 -1.6029 3.5206
1.6029 1.6029 -3.5206
Be P Ir
1 1 1
Direct
0.0000 0.0000 0.0000
0.3181 0.3181 0.0000
0.6630 0.6630 0.0000
```

Output
Calculated density ... 10.7 Mg/m³
Magnetic moment ... 0.00 μB per atom
N(E_F) ... 0.462 states/eV/atom
Symmetry ... I4mm (107)
Energy of formation ... -19.7 kJ per mole of atoms
Distance to the lowest polymorph of the same formula ... 0.0529 eV/atom